Entry P
This record from Alexandria describes a relaxed structure of Pm3Nd5Ho4. The functional is PBE-GGA.

Cell: 7.2365 11.4543 13.0622 Å, 151.29 56.28 129.27°
Fractional coordinates of all 12 atoms:
Ho 0.9173 0.8317 0.6671
Pm 0.5878 0.1694 0.3340
Ho 0.0827 0.1683 0.3329
Ho 0.8365 0.6703 0.8342
Pm 0.4122 0.8306 0.6660
Nd 0.7483 0.5017 0.0013
Pm 0.0000 0.0000 0.5000
Nd 0.3357 0.6675 0.8323
Ho 0.1635 0.3297 0.1658
Nd 0.2517 0.4983 0.9987
Nd 0.5000 0.0000 0.5000
Nd 0.6643 0.3325 0.1677

Summary:
- Magnetic moment: 0.00 μB/cell
- Calculated volume: 33.6 Å³ per atom

Entry Q
This record from Alexandria describes a relaxed structure of Pm3Nd5Ho4. The functional is PBE-GGA.

Cell: 6.0025 8.6873 9.7778 Å, 106.20 72.12 69.79°
Fractional coordinates of all 12 atoms:
Pm 0.4803 0.3117 0.7277
Pm 0.5197 0.6883 0.2723
Nd 0.7881 0.5382 0.8856
Ho 0.1402 0.7783 0.9413
Ho 0.8356 0.9515 0.3773
Ho 0.8598 0.2217 0.0587
Nd 0.3768 0.0468 0.1996
Pm 0.0000 0.5000 0.5000
Nd 0.2119 0.4618 0.1144
Nd 0.6232 0.9532 0.8004
Ho 0.1644 0.0485 0.6227
Nd 0.5000 0.5000 0.5000

Summary:
- Magnetic moment: 0.00 μB/cell
- Calculated volume: 34.2 Å³ per atom

Which of them is least stable? Easy: entry Q.

Entry P
This record from Alexandria describes a relaxed structure of Pm5Nd2Ho. The functional is PBE-GGA.

Cell: 5.1375 7.2866 14.5891 Å, 90.00 90.00 90.00°
Fractional coordinates of all 16 atoms:
Ho 0.0000 0.5000 0.0000
Nd 0.5000 0.2503 0.1243
Nd 0.5000 0.7503 0.3757
Pm 0.5000 0.7497 0.1243
Nd 0.5000 0.2497 0.6243
Pm 0.0000 0.5000 0.5000
Pm 0.0000 0.0001 0.7490
Pm 0.0000 0.5001 0.7510
Pm 0.0000 0.0000 0.0000
Pm 0.5000 0.2503 0.8757
Pm 0.5000 0.2497 0.3757
Pm 0.0000 0.9999 0.2510
Pm 0.0000 0.4999 0.2490
Ho 0.0000 0.0000 0.5000
Pm 0.5000 0.7503 0.6243
Nd 0.5000 0.7497 0.8757

Summary:
- Magnetic moment: 0.00 μB/cell
- Calculated volume: 34.1 Å³ per atom

Entry Q
This record from Alexandria describes a relaxed structure of Pm5Nd2Ho. The functional is PBE-GGA.

Cell: 10.1626 6.6846 10.8357 Å, 117.84 117.97 90.00°
Fractional coordinates of all 16 atoms:
Pm 0.9367 0.7500 0.0000
Nd 0.3406 0.0278 0.1666
Nd 0.6594 0.9722 0.8334
Pm 0.2888 0.8786 0.4088
Nd 0.8260 0.5278 0.1666
Pm 0.0633 0.2500 0.0000
Pm 0.6882 0.0392 0.1949
Pm 0.5066 0.5392 0.1949
Pm 0.8799 0.6214 0.5912
Pm 0.1201 0.3786 0.4088
Pm 0.7112 0.1214 0.5912
Pm 0.4934 0.4608 0.8051
Ho 0.5000 0.5000 0.5000
Pm 0.3118 0.9608 0.8051
Ho 0.0000 0.0000 0.5000
Nd 0.1740 0.4722 0.8334

Summary:
- Magnetic moment: 0.00 μB/cell
- Calculated volume: 34.5 Å³ per atom

Which of them is least stable? Easy: entry Q.

Entry P
This record from Alexandria describes a relaxed structure of PmNd2Ho4. The functional is PBE-GGA.

Cell: 3.5511 8.8266 8.6217 Å, 119.17 101.89 89.98°
Fractional coordinates of all 7 atoms:
Ho 0.3538 0.1550 0.7063
Ho 0.2934 0.7073 0.5868
Pm 0.0000 0.0000 0.0000
Nd 0.0686 0.4275 0.1379
Nd 0.9314 0.5725 0.8621
Ho 0.6462 0.8450 0.2937
Ho 0.7066 0.2927 0.4132

Summary:
- Magnetic moment: 0.00 μB/cell
- Calculated volume: 32.8 Å³ per atom

Entry Q
This record from Alexandria describes a relaxed structure of PmNd2Ho4. The functional is PBE-GGA.

Cell: 4.5698 4.5698 11.7629 Å, 101.20 101.20 90.00°
Fractional coordinates of all 7 atoms:
Pm 0.0000 0.0000 0.0000
Nd 0.4021 0.4021 0.8042
Nd 0.5979 0.5979 0.1958
Ho 0.2500 0.7500 0.5000
Ho 0.1403 0.1403 0.2806
Ho 0.8597 0.8597 0.7194
Ho 0.7500 0.2500 0.5000

Summary:
- Magnetic moment: 0.00 μB/cell
- Calculated volume: 33.7 Å³ per atom

Which of them is least stable? Easy: entry Q.

Entry P
This record from Alexandria describes a relaxed structure of PmNd7Ho12. The functional is PBE-GGA.

Cell: 9.7915 9.7915 9.7915 Å, 109.47 109.47 109.47°
Fractional coordinates of all 20 atoms:
Nd 0.0000 0.5000 0.0000
Ho 0.2495 0.4985 0.2490
Ho 0.7505 0.9995 0.2490
Nd 0.5000 0.0000 0.0000
Ho 0.7510 0.2495 0.0005
Ho 0.7510 0.7505 0.5015
Ho 0.2490 0.7505 0.9995
Nd 0.5000 0.5000 0.5000
Nd 0.5000 0.0000 0.5000
Ho 0.0005 0.7510 0.2495
Nd 0.0000 0.5000 0.5000
Nd 0.0000 0.0000 0.5000
Ho 0.7505 0.5015 0.7510
Ho 0.2495 0.0005 0.7510
Ho 0.5015 0.7510 0.7505
Ho 0.9995 0.2490 0.7505
Ho 0.2490 0.2495 0.4985
Pm 0.0000 0.0000 0.0000
Ho 0.4985 0.2490 0.2495
Nd 0.5000 0.5000 0.0000

Summary:
- Magnetic moment: 0.00 μB/cell
- Calculated volume: 36.1 Å³ per atom

Entry Q
This record from Alexandria describes a relaxed structure of PmNd7Ho12. The functional is PBE-GGA.

Cell: 8.7959 8.7959 8.7959 Å, 86.02 86.02 86.02°
Fractional coordinates of all 20 atoms:
Nd 0.8434 0.6016 0.9242
Pm 0.0000 0.0000 0.0000
Nd 0.5000 0.5000 0.5000
Ho 0.1468 0.7436 0.2749
Ho 0.7436 0.2749 0.1468
Ho 0.2749 0.1468 0.7436
Nd 0.1566 0.3984 0.0758
Nd 0.9242 0.8434 0.6016
Ho 0.8667 0.5039 0.3807
Ho 0.5039 0.3807 0.8667
Nd 0.6016 0.9242 0.8434
Ho 0.8532 0.2564 0.7251
Ho 0.7251 0.8532 0.2564
Ho 0.4961 0.6193 0.1333
Ho 0.2564 0.7251 0.8532
Ho 0.1333 0.4961 0.6193
Ho 0.3807 0.8667 0.5039
Ho 0.6193 0.1333 0.4961
Nd 0.3984 0.0758 0.1566
Nd 0.0758 0.1566 0.3984

Summary:
- Magnetic moment: 0.00 μB/cell
- Calculated volume: 33.8 Å³ per atom

Which of them is least stable? Easy: entry P.

Entry P
This record from Alexandria describes a relaxed structure of Pm8Nd2Ho. The functional is PBE-GGA.

Cell: 5.1539 8.1555 9.6318 Å, 104.71 105.52 90.00°
Fractional coordinates of all 11 atoms:
Ho 0.5000 0.0000 0.0000
Pm 0.6811 0.9093 0.3622
Pm 0.5901 0.4521 0.1802
Pm 0.1355 0.1797 0.2710
Pm 0.3189 0.0907 0.6378
Nd 0.2268 0.6366 0.4536
Pm 0.8645 0.8203 0.7290
Pm 0.4099 0.5479 0.8198
Pm 0.0452 0.7287 0.0904
Nd 0.7732 0.3634 0.5464
Pm 0.9548 0.2713 0.9096

Summary:
- Magnetic moment: 0.00 μB/cell
- Calculated volume: 34.2 Å³ per atom

Entry Q
This record from Alexandria describes a relaxed structure of Pm8Nd2Ho. The functional is PBE-GGA.

Cell: 5.7525 10.2448 10.2448 Å, 40.60 93.63 93.63°
Fractional coordinates of all 11 atoms:
Pm 0.2694 0.6091 0.1359
Pm 0.2694 0.1359 0.6091
Pm 0.7306 0.3909 0.8641
Pm 0.7720 0.8144 0.8144
Nd 0.2580 0.7163 0.7163
Nd 0.7420 0.2837 0.2837
Pm 0.7657 0.4553 0.4553
Pm 0.2280 0.1856 0.1856
Pm 0.2343 0.5447 0.5447
Ho 0.0000 0.0000 0.0000
Pm 0.7306 0.8641 0.3909

Summary:
- Magnetic moment: 0.00 μB/cell
- Calculated volume: 35.6 Å³ per atom

Which of them is least stable? Easy: entry Q.

Entry P
This record from Alexandria describes a relaxed structure of Pm2Nd7Ho3. The functional is PBE-GGA.

Cell: 3.6615 5.8414 19.4765 Å, 98.62 90.00 90.00°
Fractional coordinates of all 12 atoms:
Nd 0.0000 0.0000 0.0000
Nd 0.0000 0.7683 0.5366
Pm 0.0000 0.8513 0.7025
Nd 0.0000 0.2317 0.4634
Pm 0.0000 0.1487 0.2975
Ho 0.5000 0.6850 0.3700
Nd 0.0000 0.4085 0.8169
Ho 0.5000 0.3150 0.6300
Ho 0.5000 0.5000 0.0000
Nd 0.5000 0.9280 0.8560
Nd 0.0000 0.5915 0.1831
Nd 0.5000 0.0720 0.1440

Summary:
- Magnetic moment: 0.00 μB/cell
- Calculated volume: 34.3 Å³ per atom

Entry Q
This record from Alexandria describes a relaxed structure of Pm2Nd7Ho3. The functional is PBE-GGA.

Cell: 5.5308 6.2475 12.5462 Å, 90.39 90.00 90.00°
Fractional coordinates of all 12 atoms:
Nd 0.0000 0.0000 0.0000
Nd 0.5000 0.2410 0.4540
Nd 0.5000 0.0819 0.1706
Nd 0.0000 0.4443 0.1807
Ho 0.5000 0.5000 0.0000
Ho 0.0000 0.0647 0.6553
Ho 0.0000 0.9353 0.3447
Nd 0.5000 0.9181 0.8294
Pm 0.5000 0.6039 0.2793
Pm 0.5000 0.3961 0.7207
Nd 0.0000 0.5557 0.8193
Nd 0.5000 0.7590 0.5460

Summary:
- Magnetic moment: 0.00 μB/cell
- Calculated volume: 36.1 Å³ per atom

Which of them is least stable? Easy: entry Q.

Entry P
This record from Alexandria describes a relaxed structure of Pm4Nd8Ho3. The functional is PBE-GGA.

Cell: 6.9015 9.3451 9.3451 Å, 82.30 111.54 111.54°
Fractional coordinates of all 15 atoms:
Nd 0.0000 0.2980 0.7020
Pm 0.0000 0.5000 0.0000
Nd 0.7331 0.7524 0.7524
Pm 0.5000 0.0000 0.0000
Nd 0.8111 0.2985 0.2985
Nd 0.5000 0.7520 0.2480
Nd 0.2669 0.2476 0.2476
Ho 0.5000 0.0000 0.5000
Ho 0.5000 0.5000 0.5000
Nd 0.0000 0.7020 0.2980
Nd 0.1889 0.7015 0.7015
Pm 0.0000 0.0000 0.0000
Nd 0.5000 0.2480 0.7520
Ho 0.5000 0.5000 0.0000
Pm 0.0000 0.0000 0.5000

Summary:
- Magnetic moment: 0.25 μB/cell
- Calculated volume: 34.8 Å³ per atom

Entry Q
This record from Alexandria describes a relaxed structure of Pm4Nd8Ho3. The functional is PBE-GGA.

Cell: 7.0725 7.0725 12.7227 Å, 73.86 73.86 60.00°
Fractional coordinates of all 15 atoms:
Nd 0.2457 0.2457 0.2630
Nd 0.2503 0.2503 0.7463
Nd 0.2468 0.7497 0.2537
Ho 0.0000 0.0000 0.5000
Pm 0.0000 0.0000 0.0000
Nd 0.7497 0.2468 0.2537
Pm 0.5000 0.5000 0.5000
Ho 0.5000 0.0000 0.5000
Nd 0.7497 0.7497 0.2537
Ho 0.0000 0.5000 0.5000
Pm 0.3362 0.3362 0.9914
Pm 0.6638 0.6638 0.0086
Nd 0.2503 0.7532 0.7463
Nd 0.7543 0.7543 0.7370
Nd 0.7532 0.2503 0.7463

Summary:
- Magnetic moment: 0.00 μB/cell
- Calculated volume: 34.8 Å³ per atom

Which of them is least stable? Easy: entry P.

Entry P
This record from Alexandria describes a relaxed structure of Pm5NdHo4. The functional is PBE-GGA.

Cell: 3.5584 11.4925 8.7763 Å, 71.34 101.69 90.01°
Fractional coordinates of all 10 atoms:
Ho 0.0826 0.7080 0.1661
Nd 0.5000 0.0000 0.0000
Ho 0.9174 0.2920 0.8339
Pm 0.1897 0.9211 0.3795
Pm 0.8103 0.0789 0.6205
Ho 0.6049 0.2034 0.2100
Pm 0.7892 0.6152 0.5785
Ho 0.3951 0.7966 0.7900
Pm 0.5000 0.5000 0.0000
Pm 0.2108 0.3848 0.4215

Summary:
- Magnetic moment: 0.00 μB/cell
- Calculated volume: 33.2 Å³ per atom

Entry Q
This record from Alexandria describes a relaxed structure of Pm5NdHo4. The functional is PBE-GGA.

Cell: 3.5875 10.5287 9.2682 Å, 83.87 101.16 90.00°
Fractional coordinates of all 10 atoms:
Pm 0.8107 0.5959 0.6213
Pm 0.8577 0.2326 0.7155
Pm 0.1423 0.7674 0.2845
Pm 0.1893 0.4041 0.3787
Nd 0.5000 0.0000 0.0000
Pm 0.5000 0.5000 0.0000
Ho 0.0461 0.2400 0.0922
Ho 0.3166 0.9105 0.6331
Ho 0.6834 0.0895 0.3669
Ho 0.9539 0.7600 0.9078

Summary:
- Magnetic moment: 0.00 μB/cell
- Calculated volume: 34.1 Å³ per atom

Which of them is least stable? Easy: entry Q.

Entry P
This record from Alexandria describes a relaxed structure of Pm4NdHo. The functional is PBE-GGA.

Cell: 6.3917 6.3917 6.0790 Å, 89.79 89.79 55.38°
Fractional coordinates of all 6 atoms:
Pm 0.6737 0.6737 0.0429
Pm 0.1726 0.1726 0.4563
Pm 0.8274 0.8274 0.5437
Pm 0.3263 0.3263 0.9571
Nd 0.5000 0.5000 0.5000
Ho 0.0000 0.0000 0.0000

Summary:
- Magnetic moment: 0.00 μB/cell
- Calculated volume: 34.1 Å³ per atom

Entry Q
This record from Alexandria describes a relaxed structure of Pm4NdHo. The functional is PBE-GGA.

Cell: 3.6522 5.0953 12.0896 Å, 114.91 90.00 90.00°
Fractional coordinates of all 6 atoms:
Pm 0.5000 0.3290 0.8305
Pm 0.0000 0.3377 0.3357
Pm 0.0000 0.6623 0.6643
Nd 0.0000 0.0000 0.0000
Pm 0.5000 0.6710 0.1695
Ho 0.5000 0.0000 0.5000

Summary:
- Magnetic moment: 0.00 μB/cell
- Calculated volume: 34.0 Å³ per atom

Which of them is least stable? Easy: entry P.

Entry P
This record from Alexandria describes a relaxed structure of PmNd4Ho5. The functional is PBE-GGA.

Cell: 3.5438 11.2862 8.7955 Å, 90.15 101.63 90.02°
Fractional coordinates of all 10 atoms:
Pm 0.5000 0.0000 0.0000
Ho 0.8268 0.0518 0.6511
Ho 0.5000 0.5000 0.0000
Nd 0.0332 0.7483 0.0635
Nd 0.3462 0.7500 0.6865
Ho 0.1732 0.9482 0.3489
Nd 0.9668 0.2517 0.9365
Ho 0.8278 0.4520 0.6538
Ho 0.1722 0.5480 0.3462
Nd 0.6538 0.2500 0.3135

Summary:
- Magnetic moment: 0.00 μB/cell
- Calculated volume: 34.5 Å³ per atom

Entry Q
This record from Alexandria describes a relaxed structure of PmNd4Ho5. The functional is PBE-GGA.

Cell: 3.6148 3.6148 25.2167 Å, 90.00 90.00 90.00°
Fractional coordinates of all 10 atoms:
Nd 0.0000 0.0000 0.6002
Nd 0.0000 0.0000 0.3998
Pm 0.0000 0.0000 0.0000
Ho 0.5000 0.5000 0.7003
Nd 0.0000 0.0000 0.1996
Nd 0.0000 0.0000 0.8004
Ho 0.5000 0.5000 0.5000
Ho 0.5000 0.5000 0.2997
Ho 0.5000 0.5000 0.9006
Ho 0.5000 0.5000 0.0994

Summary:
- Magnetic moment: 0.00 μB/cell
- Calculated volume: 32.9 Å³ per atom

Which of them is least stable? Easy: entry P.